Computed, not measured: Ca2PmTlTe4 after structural relaxation at the PBE-GGA level of DFT.

Computed properties:
For the density, the calculation gives 5.696 Mg/m³.

Unit cell a=7.8218 b=4.5735 c=8.0814 alpha=90.00 beta=108.60 gamma=90.00
With the nearest neighbours (Å) after each atom.
Space group P2/m (No. 10)
Asymmetric unit:
Ca  0.0000  0.0000  0.0000  6 Te 3.29
Ca  0.0000  0.5000  0.5000  6 Te 3.15-3.16
Pm  0.5000  0.0000  0.5000  6 Te 3.17-3.23
Tl  0.5000  0.5000  0.0000  6 Te 3.30-3.36
Te  0.2389  0.0000  0.7307  3 Ca 3.16-3.29, 1 Pm 3.17, 2 Tl 3.36
Te  0.2491  0.5000  0.2605  3 Ca 3.15-3.29, 2 Pm 3.23, 1 Tl 3.30



Computed, not measured: Ca3PmTm2Te6 after structural relaxation at the PBE-GGA level of DFT.

Computed properties:
For the density, the calculation gives 6.182 Mg/m³.

Unit cell a=19.4096 b=4.3858 c=8.9205 alpha=90.00 beta=104.45 gamma=90.00
With the nearest neighbours (Å) after each atom.
Space group C2/m (No. 12)
Asymmetric unit:
Ca  0.0000  0.0000  0.0000  6 Te 3.10-3.22
Ca  0.1636  0.5000  0.3318  6 Te 3.11-3.20
Pm  0.0000  0.0000  0.5000  6 Te 3.16-3.18
Tm  0.1628  0.5000  0.8251  6 Te 3.03-3.13
Te  0.0020  0.5000  0.7558  1 Tm 3.03, 3 Ca 3.10-3.11, 2 Pm 3.16
Te  0.1694  0.0000  0.5896  2 Tm 3.06, 3 Ca 3.14-3.16, 1 Pm 3.18
Te  0.1709  0.0000  0.0747  3 Tm 3.10-3.13, 3 Ca 3.20-3.22



| no. | total moment (Bohr magnetons per cell) | calculated total energy (eV/atom) | density of states at the Fermi level (states/eV/cell) |
| --- | --- | --- | --- |
| 1 | 0.000 | -4.264 | 0.07 |
| 2 | 0.000 | -4.652 | 9.95 |